Record 1
Material: Ac2Pr6Tm
Method: DFT, PBE
State: relaxed

It has space group C2/c (No. 15), with a = 15.737 Å, b = 10.300 Å, c = 9.374 Å, α = 90.00°, β = 117.96° and γ = 90.00°. The distinct sites, in fractional coordinates, are Ac at (0.093, 0.079, 0.178), Pr at (0.082, 0.421, 0.164), Pr at (0.164, 0.254, 0.581), Pr at (0.239, 0.409, 0.985) and Tm at (0.000, 0.256, 0.750).

For the energy above the most stable polymorph in this dataset, the calculation gives 8 meV/atom. As for the crystal system: monoclinic. The total energy is -4.513 eV/atom. For the formation energy from the elements, the calculation gives 0.083 eV per atom.

=====

Record 2
Material: BaZr2Ru
Method: DFT, PBE
State: relaxed

It has space group Imm2 (No. 44), with a = 3.413 Å, b = 4.239 Å, c = 16.148 Å, α = 90.00°, β = 90.00° and γ = 90.00°. The distinct sites, in fractional coordinates, are Ba at (0.000, 0.000, 0.000), Zr at (0.000, 0.000, 0.325), Zr at (0.000, 0.500, 0.186) and Ru at (0.000, 0.500, 0.700).

For the energy above the most stable polymorph in this dataset, the calculation gives 155 meV/atom. As for the crystal system: orthorhombic. The total energy is -6.839 eV/atom. For the formation energy from the elements, the calculation gives 0.234 eV per atom.

=====

Record 3
Material: AcNi2H6
Method: DFT, PBE
State: relaxed

It has space group P6/mmm (No. 191), with a = 4.5765 Å, b = 4.5765 Å, c = 4.4812 Å, α = 90.00°, β = 90.00° and γ = 120.00°. The distinct sites, in fractional coordinates, are Ac at (0.0000, 0.0000, 0.0000), Ni at (0.3333, 0.6667, 0.5000) and H at (0.0000, 0.5000, 0.2768).

As for the crystal system: hexagonal. The total energy is -4.387 eV/atom.

=====

Record 4
Material: TlIr2Os
Method: DFT, PBE
State: relaxed

It has space group Cmm2 (No. 35), with a = 2.795 Å, b = 4.926 Å, c = 9.848 Å, α = 90.00°, β = 90.00° and γ = 90.00°. The distinct sites, in fractional coordinates, are Tl at (0.000, 0.000, 0.000), Ir at (0.000, 0.000, 0.499), Ir at (0.000, 0.500, 0.266) and Os at (0.000, 0.500, 0.725).

For the energy above the most stable polymorph in this dataset, the calculation gives 446 meV/atom. As for the crystal system: orthorhombic. The total energy is -7.013 eV/atom. For the formation energy from the elements, the calculation gives 0.816 eV per atom.

=====

Record 5
Material: LiIn2Sb
Method: DFT, PBE
State: relaxed

It has space group I4/mmm (No. 139), with a = 4.471 Å, b = 4.471 Å, c = 9.896 Å, α = 90.00°, β = 90.00° and γ = 90.00°. The distinct sites, in fractional coordinates, are Li at (0.000, 0.000, 0.000), In at (0.000, 0.500, 0.250) and Sb at (0.000, 0.000, 0.500).

Its uncorrected formation energy is -14 kJ per mole of atoms. As for the crystal system: tetragonal. The total energy is -3.021 eV/atom.

=====

Record 6
Material: Tm2TaBr
Method: DFT, PBE
State: relaxed

It has space group R-3m (No. 166, hexagonal axes), with a = 3.2632 Å, b = 3.2632 Å, c = 31.8761 Å, α = 90.00°, β = 90.00° and γ = 120.00°. The distinct sites, in fractional coordinates, are Tm at (0.0000, 0.0000, 0.0917), Ta at (0.0000, 0.0000, 0.0000) and Br at (0.0000, 0.0000, 0.5000).

Its uncorrected formation energy is 19 kJ per mole of atoms. As for the crystal system: trigonal. The total energy is -5.424 eV/atom.

=====

Record 7
Material: HoTmInGa
Method: DFT, PBE
State: relaxed

It has space group F-43m (No. 216), with a = 7.290 Å, b = 7.290 Å, c = 7.290 Å, α = 90.00°, β = 90.00° and γ = 90.00°. The distinct sites, in fractional coordinates, are Ho at (0.000, 0.000, 0.000), Tm at (0.000, 0.000, 0.500), In at (0.250, 0.250, 0.250) and Ga at (0.250, 0.250, 0.750).

For the energy above the most stable polymorph in this dataset, the calculation gives 20 meV/atom. As for the crystal system: cubic. The total energy is -4.186 eV/atom. For the formation energy from the elements, the calculation gives -0.482 eV per atom.

=====

Record 8
Material: K3LiNp3O8
Method: DFT, PBE
State: relaxed

It has space group R-3m (No. 166, hexagonal axes), with a = 6.9009 Å, b = 6.9009 Å, c = 18.7719 Å, α = 90.00°, β = 90.00° and γ = 120.00°. The distinct sites, in fractional coordinates, are K at (0.0000, 0.5000, 0.0000), Li at (0.0000, 0.0000, 0.5000), Np at (0.0000, 0.5000, 0.5000), O at (0.0000, 0.0000, 0.2318) and O at (0.0187, 0.5094, 0.7759).

Its uncorrected formation energy is -233 kJ per mole of atoms. As for the crystal system: trigonal. The total energy is -7.992 eV/atom.

=====

Record 9
Material: Te2MoCl
Method: DFT, PBE
State: relaxed

It has space group Immm (No. 71), with a = 3.201 Å, b = 4.949 Å, c = 13.280 Å, α = 90.00°, β = 90.00° and γ = 90.00°. The distinct sites, in fractional coordinates, are Te at (0.000, 0.000, 0.167), Mo at (0.000, 0.500, 0.500) and Cl at (0.000, 0.500, 0.000).

For the energy above the most stable polymorph in this dataset, the calculation gives 346 meV/atom. Its uncorrected formation energy is 17 kJ per mole of atoms. As for the crystal system: orthorhombic. The total energy is -4.560 eV/atom.

=====

Record 10
Material: Tm5Sc5Bi6
Method: DFT, PBE
State: relaxed

It has space group Amm2 (No. 38), with a = 6.141 Å, b = 15.276 Å, c = 8.927 Å, α = 90.00°, β = 90.00° and γ = 90.00°. The distinct sites, in fractional coordinates, are Tm at (0.000, 0.000, 0.000), Tm at (0.000, 0.119, 0.637), Tm at (0.500, 0.120, 0.876), Sc at (0.250, 0.168, 0.255), Sc at (0.500, 0.000, 0.508), Bi at (0.000, 0.000, 0.362), Bi at (0.000, 0.198, 0.953), Bi at (0.500, 0.000, 0.153) and Bi at (0.500, 0.194, 0.557).

As for the crystal system: orthorhombic. The total energy is -5.450 eV/atom. For the formation energy from the elements, the calculation gives -0.618 eV per atom.

=====

Record 11
Material: TaIn2Pb
Method: DFT, PBE
State: relaxed

It has space group Cmmm (No. 65), with a = 4.401 Å, b = 4.410 Å, c = 9.888 Å, α = 90.00°, β = 90.00° and γ = 90.00°. The distinct sites, in fractional coordinates, are Ta at (0.000, 0.000, 0.000), In at (0.000, 0.500, 0.214) and Pb at (0.000, 0.000, 0.500).

As for the crystal system: orthorhombic. The total energy is -4.972 eV/atom. For the formation energy from the elements, the calculation gives 0.287 eV per atom.

=====

Record 12
Material: Ni5Pd2Pt5
Method: DFT, PBE
State: relaxed

It has space group C2/m (No. 12), with a = 11.592 Å, b = 3.727 Å, c = 8.596 Å, α = 90.00°, β = 116.55° and γ = 90.00°. The distinct sites, in fractional coordinates, are Ni at (0.000, 0.000, 0.000), Ni at (0.081, 0.000, 0.745), Ni at (0.167, 0.000, 0.500), Pd at (0.162, 0.500, 0.996), Pt at (0.000, 0.500, 0.500), Pt at (0.083, 0.500, 0.255) and Pt at (0.245, 0.500, 0.740).

For the energy above the most stable polymorph in this dataset, the calculation gives 0 meV/atom. As for the crystal system: monoclinic. The total energy is -5.845 eV/atom. For the formation energy from the elements, the calculation gives -0.053 eV per atom.